Below is a geometry-optimized AlInCo structure, with properties calculated at the PBE-GGA level.

Values from the calculation:
volume = 15.585 Å³ per atom
VASP energy = -13.725 eV/f.u.
magnetization = 0.37 μB per cell
energy of formation from the pure elements = -0.14 eV per formula unit
density of states at the Fermi level = 0.7224 states/eV per atom

a = 3.162 Å, b = 3.183 Å, c = 9.293 Å
α = 90.00°, β = 90.00°, γ = 90.00°
Positions (direct):
Al 0.000 0.000 0.000
Al 0.500 0.500 0.500
In 0.000 0.000 0.706
In 0.500 0.500 0.206
Co 0.000 0.000 0.390
Co 0.500 0.500 0.890

Below is a geometry-optimized Al2InCo structure, with properties calculated at the PBE-GGA level.

Values from the calculation:
volume = 17.110 Å³ per atom
VASP energy = -17.494 eV/f.u.
magnetization = 0.00 μB per cell
energy of formation from the pure elements = -0.16 eV per formula unit
density of states at the Fermi level = 0.4695 states/eV per atom

a = 2.756 Å, b = 4.447 Å, c = 11.167 Å
α = 90.00°, β = 90.00°, γ = 90.00°
Positions (direct):
Al 0.000 0.000 0.188
Al 0.000 0.000 0.812
Al 0.500 0.500 0.312
Al 0.500 0.500 0.688
In 0.000 0.500 0.000
In 0.500 0.000 0.500
Co 0.000 0.500 0.500
Co 0.500 0.000 0.000

Below is a geometry-optimized Al3InCo structure, with properties calculated at the PBE-GGA level.

Values from the calculation:
offset from the most stable computed form = 0 meV/atom
volume = 19.215 Å³ per atom
VASP energy = -21.254 eV/f.u.
magnetization = 0.00 μB per cell
energy of formation from the pure elements = -0.18 eV per formula unit
density of states at the Fermi level = 0.4669 states/eV per atom

a = 4.580 Å, b = 4.580 Å, c = 4.580 Å
α = 90.00°, β = 90.00°, γ = 90.00°
Positions (direct):
Al 0.000 0.000 0.500
Al 0.000 0.500 0.000
Al 0.500 0.000 0.000
In 0.500 0.500 0.500
Co 0.000 0.000 0.000

Below is a geometry-optimized Al2InCo structure, with properties calculated at the PBE-GGA level.

Values from the calculation:
volume = 16.374 Å³ per atom
VASP energy = -17.233 eV/f.u.
magnetization = 0.07 μB per cell
energy of formation from the pure elements = 0.10 eV per formula unit
density of states at the Fermi level = 0.5902 states/eV per atom

a = 3.182 Å, b = 4.114 Å, c = 5.225 Å
α = 90.00°, β = 106.76°, γ = 90.00°
Positions (direct):
Al 0.000 0.000 0.000
Al 0.416 0.500 0.824
In 0.719 0.000 0.459
Co 0.123 0.500 0.248

Below is a geometry-optimized AlInCo2 structure, with properties calculated at the PBE-GGA level.

Values from the calculation:
volume = 14.322 Å³ per atom
VASP energy = -20.266 eV/f.u.
magnetization = 4.20 μB per cell
energy of formation from the pure elements = 0.43 eV per formula unit
density of states at the Fermi level = 0.8793 states/eV per atom

a = 2.873 Å, b = 2.873 Å, c = 24.041 Å
α = 90.00°, β = 90.00°, γ = 120.00°
Positions (direct):
Al 0.000 0.000 0.000
Al 0.333 0.667 0.667
Al 0.667 0.333 0.333
In 0.000 0.000 0.500
In 0.333 0.667 0.167
In 0.667 0.333 0.833
Co 0.000 0.000 0.256
Co 0.000 0.000 0.744
Co 0.333 0.667 0.411
Co 0.333 0.667 0.923
Co 0.667 0.333 0.077
Co 0.667 0.333 0.589

Below is a geometry-optimized AlInCo2 structure, with properties calculated at the PBE-GGA level.

Values from the calculation:
volume = 17.217 Å³ per atom
VASP energy = -19.116 eV/f.u.
magnetization = 11.18 μB per cell
energy of formation from the pure elements = 1.58 eV per formula unit
density of states at the Fermi level = 0.8029 states/eV per atom

a = 4.007 Å, b = 4.007 Å, c = 17.161 Å
α = 90.00°, β = 90.00°, γ = 90.00°
Positions (direct):
Al 0.000 0.000 0.000
Al 0.000 0.500 0.250
Al 0.500 0.000 0.750
Al 0.500 0.500 0.500
In 0.000 0.000 0.500
In 0.000 0.500 0.750
In 0.500 0.000 0.250
In 0.500 0.500 0.000
Co 0.140 0.250 0.125
Co 0.250 0.640 0.375
Co 0.250 0.860 0.875
Co 0.360 0.250 0.625
Co 0.640 0.750 0.625
Co 0.750 0.140 0.875
Co 0.750 0.360 0.375
Co 0.860 0.750 0.125